DFT (GGA+U) results for Ac2SbMoO6 after structural relaxation.

Values from the calculation:
final energy	-7.14	eV per atom

Cell: 4.6505 5.9495 5.9495 Å, 90.00 90.00 90.00°
Site moments in Bohr magnetons follow the coordinates.
Positions (direct):
Ac 0.0401 0.5000 0.0000  0.01
Ac 0.0401 0.0000 0.5000  0.01
Sb 0.6206 0.0000 0.0000  0.02
Mo 0.6418 0.5000 0.5000  2.63
O 0.7192 0.2538 0.2538  0.03
O 0.7192 0.2538 0.7462  0.03
O 0.1686 0.5000 0.5000  0.03
O 0.0585 0.0000 0.0000  0.00
O 0.7192 0.7462 0.7462  0.03
O 0.7192 0.7462 0.2538  0.03